# 1
# Cd2NiC | the Alexandria database | PBE | optimized geometry
# **Formation energy from the elements**: 571 meV/atom
# **Final energy**: -58.2 eV/cell
data_Cd2NiC
_chemical_formula_sum 'Cd8 Ni4 C4'
_symmetry_space_group_name_H-M 'I -4 2 d'
_symmetry_Int_Tables_number 122
_symmetry_space_group_name_Hall 'I -4 2bw'
_cell_length_a 8.7262
_cell_length_b 8.7262
_cell_length_c 3.6394
_cell_angle_alpha 90.00
_cell_angle_beta 90.00
_cell_angle_gamma 90.00
loop_
_atom_site_label
_atom_site_type_symbol
_atom_site_fract_x
_atom_site_fract_y
_atom_site_fract_z
Cd1 Cd 0.1015 0.2500 0.1250
Ni1 Ni 0.0000 0.0000 0.5000
C1 C 0.0000 0.0000 0.0000

# 2
# YSc2In2 | the Alexandria database | PBE | optimized geometry
# **Formation energy from the elements**: -345 meV/atom
# **E above lowest polymorph**: 0.0000 eV per atom
# **Final energy**: -52.7 eV/cell
data_YSc2In2
_chemical_formula_sum 'Y2 Sc4 In4'
_symmetry_space_group_name_H-M 'P 4/m b m'
_symmetry_Int_Tables_number 127
_symmetry_space_group_name_Hall '-P 4 2ab'
_cell_length_a 8.3668
_cell_length_b 8.3668
_cell_length_c 3.6036
_cell_angle_alpha 90.00
_cell_angle_beta 90.00
_cell_angle_gamma 90.00
loop_
_atom_site_label
_atom_site_type_symbol
_atom_site_fract_x
_atom_site_fract_y
_atom_site_fract_z
Y1 Y 0.0000 0.0000 0.0000
Sc1 Sc 0.1717 0.3283 0.5000
In1 In 0.1289 0.6289 0.0000

# 3
# BaHfS3 | the Alexandria database | PBE | optimized geometry
# **Final energy**: -29.1 eV/cell
# **ΔE_f (raw)**: -4.86 eV/f.u.
data_BaHfS3
_chemical_formula_sum 'Ba1 Hf1 S3'
_symmetry_space_group_name_H-M 'P 4 m m'
_symmetry_Int_Tables_number 99
_cell_length_a 4.3890
_cell_length_b 4.3890
_cell_length_c 7.7213
_cell_angle_alpha 90.00
_cell_angle_beta 90.00
_cell_angle_gamma 90.00
loop_
_symmetry_equiv_pos_as_xyz
'x,y,z'
'-y,x,z'
'-x,-y,z'
'y,-x,z'
'-x,y,z'
'y,x,z'
'x,-y,z'
'-y,-x,z'
loop_
_atom_site_label
_atom_site_type_symbol
_atom_site_fract_x
_atom_site_fract_y
_atom_site_fract_z
Ba1 Ba 0.0000 0.0000 0.0000
Hf1 Hf 0.5000 0.5000 0.4217
S1 S 0.0000 0.0000 0.6119
S2 S 0.0000 0.5000 0.2623

# 4
# CrSb2Te | the Alexandria database | PBE | optimized geometry
# **E above lowest polymorph**: 0.3270 eV per atom
# **Final energy**: -19.3 eV/cell
# **ΔE_f (raw)**: 1.69 eV/f.u.
data_CrSb2Te
_chemical_formula_sum 'Cr1 Sb2 Te1'
_symmetry_space_group_name_H-M 'P 4/m m m'
_symmetry_Int_Tables_number 123
_symmetry_space_group_name_Hall '-P 4 2'
_cell_length_a 5.2915
_cell_length_b 5.2915
_cell_length_c 3.5660
_cell_angle_alpha 90.00
_cell_angle_beta 90.00
_cell_angle_gamma 90.00
loop_
_atom_site_label
_atom_site_type_symbol
_atom_site_fract_x
_atom_site_fract_y
_atom_site_fract_z
Cr1 Cr 0.0000 0.0000 0.0000
Sb1 Sb 0.0000 0.5000 0.5000
Te1 Te 0.5000 0.5000 0.0000

# 5
# Th2Cd3In3 | the Alexandria database | PBE | optimized geometry
# **Formation energy from the elements**: -248 meV/atom
# **Final energy**: -27.8 eV/cell
data_Th2Cd3In3
_chemical_formula_sum 'Th2 Cd3 In3'
_symmetry_space_group_name_H-M 'P m m m'
_symmetry_Int_Tables_number 47
_cell_length_a 4.7051
_cell_length_b 4.7809
_cell_length_c 9.3122
_cell_angle_alpha 90.00
_cell_angle_beta 90.00
_cell_angle_gamma 90.00
loop_
_symmetry_equiv_pos_as_xyz
'x,y,z'
'-x,-y,-z'
'-x,-y,z'
'x,y,-z'
'x,-y,-z'
'-x,y,z'
'-x,y,-z'
'x,-y,z'
loop_
_atom_site_label
_atom_site_type_symbol
_atom_site_fract_x
_atom_site_fract_y
_atom_site_fract_z
Th1 Th 0.0000 0.0000 0.2471
Cd1 Cd 0.0000 0.5000 0.5000
Cd2 Cd 0.5000 0.5000 0.2549
In1 In 0.0000 0.5000 0.0000
In2 In 0.5000 0.0000 0.0000
In3 In 0.5000 0.0000 0.5000

# 6
# HfThZrN3 | the Alexandria database | PBE | optimized geometry
# **Final energy**: -121.0 eV/cell
# **ΔE_f (raw)**: -9.60 eV/f.u.
data_HfThZrN3
_chemical_formula_sum 'Hf2 Th2 Zr2 N6'
_symmetry_space_group_name_H-M 'P 1 21/m 1'
_symmetry_Int_Tables_number 11
_cell_length_a 5.7552
_cell_length_b 3.3610
_cell_length_c 8.7808
_cell_angle_alpha 90.00
_cell_angle_beta 102.81
_cell_angle_gamma 90.00
loop_
_symmetry_equiv_pos_as_xyz
'x,y,z'
'-x,-y,-z'
'-x,y+1/2,-z'
'x,-y+1/2,z'
loop_
_atom_site_label
_atom_site_type_symbol
_atom_site_fract_x
_atom_site_fract_y
_atom_site_fract_z
Hf1 Hf 0.2324 0.2500 0.4524
Th1 Th 0.3525 0.7500 0.8067
Zr1 Zr 0.1290 0.7500 0.1396
N1 N 0.0384 0.2500 0.6457
N2 N 0.2584 0.2500 0.0020
N3 N 0.4461 0.7500 0.3502

Which of these has the lowest final energy?
HfThZrN3

Which value of final energy does entry 6 give?
-121.0 eV/cell

Which value of final energy does entry 3 give?
-29.1 eV/cell

Which of these has the highest final energy?
CrSb2Te